# 1
The following is a DFT calculation (PBE-GGA) of an optimized crystal structure of TlMoSe2Br.

Geometry as POSCAR:
```
TlMoSe2Br
1.0
4.932 0.000 0.000
0.000 4.932 0.000
0.000 0.000 5.563
Se Br Tl Mo
2 1 1 1
Cartesian
2.466 0.000 0.000
0.000 2.466 0.000
0.000 0.000 2.782
2.466 2.466 2.782
0.000 0.000 0.000
```

Output
- D(E_F): 4.625 states/eV per cell
- Total energy: -4.56 eV per atom
- E_form (uncorrected): -0.19 eV per atom
- Excess energy over the best structure of this formula in the dataset: 0.000 eV/atom
- Magnetic moment: 0.678 μB/cell



# 2
The following is a DFT calculation (PBE-GGA) of an optimized crystal structure of VMoSe2Br.

Geometry as POSCAR:
```
VMoSe2Br
1.0
4.902 0.000 0.000
0.000 4.902 0.000
0.000 0.000 5.020
V Br Mo Se
1 1 1 2
Cartesian
0.000 0.000 0.000
0.000 0.000 2.510
2.451 2.451 2.510
2.451 0.000 0.000
0.000 2.451 0.000
```

Output
- D(E_F): 3.532 states/eV per cell
- Total energy: -5.23 eV per atom
- E_form (uncorrected): 0.49 eV per atom
- Excess energy over the best structure of this formula in the dataset: 0.000 eV/atom
- Magnetic moment: 6.034 μB/cell



# 3
The following is a DFT calculation (PBE-GGA) of an optimized crystal structure of MoWSeBr2.

Geometry as POSCAR:
```
MoWSeBr2
1.0
5.263 0.000 0.000
0.000 5.263 0.000
0.000 0.000 4.867
Br Mo Se W
2 1 1 1
Cartesian
0.000 2.632 0.000
2.632 0.000 0.000
2.632 2.632 2.433
0.000 0.000 2.433
0.000 0.000 0.000
```

Output
- D(E_F): 2.964 states/eV per cell
- Total energy: -5.07 eV per atom
- E_form (uncorrected): 1.05 eV per atom
- Excess energy over the best structure of this formula in the dataset: 0.000 eV/atom
- Magnetic moment: 6.765 μB/cell



Look up the D(E_F) of the third one. 2.964 states/eV per cell



Among the records above, which one has the highest total energy? TlMoSe2Br



Which formula does entry 2 have? VMoSe2Br



Among the records above, which one has the lowest D(E_F)? MoWSeBr2